An optimized crystal structure of PaSi2OsRu, computed with PBE.

The calculation puts the energy relative to the elements, uncorrected at -781 meV per atom.

It has space group I-4m2 (No. 119), with a = 4.177 Å, b = 4.177 Å, c = 9.572 Å, α = 90.00°, β = 90.00° and γ = 90.00°. Symmetry generates all atoms from Pa at (0.000, 0.000, 0.000), Si at (0.000, 0.000, 0.373), Os at (0.000, 0.500, 0.750) and Ru at (0.000, 0.500, 0.250).